Record 1
A plane-wave DFT calculation with PBE-GGA was carried out for an optimized crystal structure of Sm2Dy3Se6.

Lattice parameters (Å, degrees): 20.2866 20.2866 20.2866 11.78 11.78 11.78
Last column: nearest neighbours and their distance in Å.
Sites, in units of the cell vectors:
Sm  0.0542  0.0542  0.0542  6 Se 2.81-3.08
Sm  0.9458  0.9458  0.9458  6 Se 2.81-3.08
Dy  0.2194  0.2194  0.2194  6 Se 2.87-2.93
Dy  0.5000  0.5000  0.5000  6 Se 2.90
Dy  0.7806  0.7806  0.7806  6 Se 2.87-2.93
Se  0.1399  0.1399  0.1399  6 Dy 2.87-2.90
Se  0.3032  0.3032  0.3032  3 Sm 2.81
Se  0.4194  0.4194  0.4194  3 Dy 2.93, 3 Sm 3.08
Se  0.5806  0.5806  0.5806  3 Dy 2.93, 3 Sm 3.08
Se  0.6968  0.6968  0.6968  3 Sm 2.81
Se  0.8601  0.8601  0.8601  6 Dy 2.87-2.90

Properties
Volume   27.482 A^3/atom
Total moment   0.00 μB per atom
Raw total energy   -63.593 eV/f.u.

***

Record 2
A plane-wave DFT calculation with PBE-GGA was carried out for an optimized crystal structure of SmDy2Se5.

Lattice parameters (Å, degrees): 8.5233 8.5233 8.5233 126.78 126.78 78.62
Last column: nearest neighbours and their distance in Å.
Sites, in units of the cell vectors:
Sm  0.2500  0.2500  0.0000  10 Se 3.19-3.30
Sm  0.7500  0.7500  0.0000  10 Se 3.19-3.30
Dy  0.1555  0.6555  0.8109  8 Se 2.82-3.06
Dy  0.3445  0.1555  0.5000  8 Se 2.82-3.06
Dy  0.6555  0.8445  0.5000  8 Se 2.82-3.06
Dy  0.8445  0.3445  0.1891  8 Se 2.82-3.06
Se  0.0000  0.0000  0.0000  4 Dy 2.89
Se  0.0083  0.1979  0.5000  3 Dy 2.82-3.06
Se  0.1979  0.6979  0.1896  3 Dy 2.82-3.06
Se  0.3021  0.4917  0.5000  3 Dy 2.82-3.06
Se  0.4917  0.9917  0.1896  3 Dy 2.82-3.06
Se  0.5000  0.5000  0.0000  4 Dy 2.89
Se  0.5083  0.0083  0.8104  3 Dy 2.82-3.06
Se  0.6979  0.5083  0.5000  3 Dy 2.82-3.06
Se  0.8021  0.3021  0.8104  3 Dy 2.82-3.06
Se  0.9917  0.8021  0.5000  3 Dy 2.82-3.06

Properties
Volume   24.033 A^3/atom
Total moment   0.00 μB per atom
Raw total energy   -44.243 eV/f.u.

***

- raw total energy of number 1 (Sm2Dy3Se6)?
  -63.593 eV/f.u.